Entry 1:
## Pr4Nd3Ho2 (PBE)

Data for Pr4Nd3Ho2 after structural relaxation.

Cell lengths 6.332, 6.338, 9.692 Å; angles 89.97, 71.02, 60.06 degrees
Space group P-1 (No. 2)
One atom of each set of equivalent atoms:
1 Pr 0.112 0.112 0.335 [2 per cell]
2 Pr 0.331 0.335 0.000 [2 per cell]
3 Nd 0.000 0.000 0.000 [1 per cell]
4 Nd 0.445 0.444 0.335 [2 per cell]
5 Ho 0.224 0.221 0.665 [2 per cell]

Calculated values
Energy relative to the elements: 0.015 eV/atom
Offset from the most stable computed form: 0 meV/atom


Entry 2:
## Pr5Nd4Ho4 (PBE)

Data for Pr5Nd4Ho4 after structural relaxation.

Cell lengths 13.173, 13.173, 5.144 Å; angles 90.00, 90.00, 90.00 degrees
Space group I4/m (No. 87)
One atom of each set of equivalent atoms:
1 Pr 0.000 0.000 0.000 [2 per cell]
2 Pr 0.041 0.808 0.500 [8 per cell]
3 Nd 0.077 0.617 0.000 [8 per cell]
4 Ho 0.155 0.232 0.000 [8 per cell]

Calculated values
Energy relative to the elements: 0.017 eV/atom


Entry 3:
## Pr3Nd5Ho3 (PBE)

Data for Pr3Nd5Ho3 after structural relaxation.

Cell lengths 9.8010, 9.8010, 5.6175 Å; angles 90.00, 90.00, 120.00 degrees
Space group P-62m (No. 189)
One atom of each set of equivalent atoms:
1 Pr 0.0000 0.4223 0.0000 [3 per cell]
2 Nd 0.0000 0.2691 0.5000 [3 per cell]
3 Nd 0.3333 0.6667 0.5000 [2 per cell]
4 Ho 0.0000 0.6319 0.5000 [3 per cell]

Calculated values
Energy relative to the elements: 0.721 eV/atom
Offset from the most stable computed form: 407 meV/atom


Entry 4:
## Pr3Nd3Ho (PBE)

Data for Pr3Nd3Ho after structural relaxation.

Cell lengths 8.8412, 8.8412, 22.4475 Å; angles 90.00, 90.00, 120.00 degrees
Space group R-3 (No. 148, hexagonal axes)
One atom of each set of equivalent atoms:
1 Pr 0.0043 0.2422 0.0582 [18 per cell]
2 Nd 0.0489 0.4476 0.8809 [18 per cell]
3 Ho 0.0000 0.0000 0.3445 [6 per cell]

Calculated values
Energy relative to the elements: 0.216 eV/atom
Offset from the most stable computed form: 187 meV/atom


Entry 5:
## Pr7NdHo4 (PBE)

Data for Pr7NdHo4 after structural relaxation.

Cell lengths 16.278, 6.073, 9.584 Å; angles 90.00, 117.31, 90.00 degrees
Space group C2/m (No. 12)
One atom of each set of equivalent atoms:
1 Pr 0.000 0.000 0.000 [2 per cell]
2 Pr 0.088 0.500 0.455 [4 per cell]
3 Pr 0.215 0.500 0.888 [4 per cell]
4 Pr 0.218 0.500 0.247 [4 per cell]
5 Nd 0.000 0.500 0.000 [2 per cell]
6 Ho 0.069 0.000 0.699 [4 per cell]
7 Ho 0.168 0.000 0.374 [4 per cell]

Calculated values
Energy relative to the elements: 0.200 eV/atom
Offset from the most stable computed form: 195 meV/atom


Entry 6:
## Pr2Nd5Ho3 (PBE)

Data for Pr2Nd5Ho3 after structural relaxation.

Cell lengths 11.013, 15.552, 9.805 Å; angles 90.00, 123.85, 90.00 degrees
Space group C2/c (No. 15)
One atom of each set of equivalent atoms:
1 Pr 0.146 0.122 0.054 [8 per cell]
2 Nd 0.000 0.230 0.250 [4 per cell]
3 Nd 0.000 0.268 0.750 [4 per cell]
4 Nd 0.000 0.468 0.750 [4 per cell]
5 Nd 0.235 0.382 0.225 [8 per cell]
6 Ho 0.000 0.023 0.250 [4 per cell]
7 Ho 0.157 0.379 0.547 [8 per cell]

Calculated values
Energy relative to the elements: 0.181 eV/atom
Offset from the most stable computed form: 0 meV/atom